(1)
Material: NaNbO3
Method: DFT, PBEsol
State: optimized geometry

Output
Magnetic moment ... 0.000 μB/f.u.
Formation energy without anion corrections ... -12.06 eV/f.u.
VASP energy ... -8.007 eV per atom

```
data_NaNbO3
_chemical_formula_sum 'Na4 Nb4 O12'
_cell_length_a 5.561
_cell_length_b 7.831
_cell_length_c 5.488
_cell_angle_alpha 90.00
_cell_angle_beta 90.00
_cell_angle_gamma 90.00
_space_group_name_H-M_alt 'P n m a'
_space_group_IT_number 62
_space_group_name_Hall '-P 2ac 2n'
loop_
_atom_site_label
_atom_site_type_symbol
_atom_site_fract_x
_atom_site_fract_y
_atom_site_fract_z
_atom_site_occupancy
Na1 Na 0.027 0.250 0.004 1
Nb1 Nb 0.000 0.000 0.500 1
O1 O 0.015 0.750 0.430 1
O2 O 0.210 0.536 0.791 1
```

***

(2)
Material: RbTe3H
Method: DFT, PBEsol
State: optimized geometry

Output
Magnetic moment ... 6.022 μB/f.u.
VASP energy ... -1.616 eV per atom

```
data_RbTe3H
_chemical_formula_sum 'Rb1 Te3 H1'
_cell_length_a 6.833
_cell_length_b 6.833
_cell_length_c 6.833
_cell_angle_alpha 90.00
_cell_angle_beta 90.00
_cell_angle_gamma 90.00
_space_group_name_H-M_alt 'P m -3 m'
_space_group_IT_number 221
_space_group_name_Hall '-P 4 2 3'
loop_
_atom_site_label
_atom_site_type_symbol
_atom_site_fract_x
_atom_site_fract_y
_atom_site_fract_z
_atom_site_occupancy
Rb1 Rb 0.000 0.000 0.000 1
Te1 Te 0.000 0.000 0.500 1
H1 H 0.500 0.500 0.500 1
```

***

(3)
Material: CaLaRu3
Method: DFT, PBEsol
State: optimized geometry

Output
Magnetic moment ... 0.001 μB/f.u.
VASP energy ... -6.090 eV per atom

```
data_CaLaRu3
_chemical_formula_sum 'Ca1 La1 Ru3'
_cell_length_a 4.671
_cell_length_b 4.671
_cell_length_c 4.671
_cell_angle_alpha 90.00
_cell_angle_beta 90.00
_cell_angle_gamma 90.00
_space_group_name_H-M_alt 'P m -3 m'
_space_group_IT_number 221
_space_group_name_Hall '-P 4 2 3'
loop_
_atom_site_label
_atom_site_type_symbol
_atom_site_fract_x
_atom_site_fract_y
_atom_site_fract_z
_atom_site_occupancy
Ca1 Ca 0.000 0.000 0.000 1
La1 La 0.500 0.500 0.500 1
Ru1 Ru 0.000 0.000 0.500 1
```

***

(4)
Material: MgReBr2
Method: DFT, PBEsol
State: optimized geometry

Output
Magnetic moment ... 0.001 μB/f.u.
Formation energy without anion corrections ... 0.43 eV/f.u.
VASP energy ... -4.589 eV per atom

```
data_MgReBr2
_chemical_formula_sum 'Mg2 Re2 Br4'
_cell_length_a 3.273
_cell_length_b 3.703
_cell_length_c 14.885
_cell_angle_alpha 90.00
_cell_angle_beta 90.00
_cell_angle_gamma 90.00
_space_group_name_H-M_alt 'A m m 2'
_space_group_IT_number 38
_space_group_name_Hall 'A 2 -2'
loop_
_atom_site_label
_atom_site_type_symbol
_atom_site_fract_x
_atom_site_fract_y
_atom_site_fract_z
_atom_site_occupancy
Mg1 Mg 0.000 0.000 0.000 1
Re1 Re 0.500 0.000 0.578 1
Br1 Br 0.000 0.000 0.701 1
Br2 Br 0.500 0.000 0.403 1
```

***

(5)
Material: SrTlCd2
Method: DFT, PBEsol
State: optimized geometry

Output
Magnetic moment ... 0.000 μB/f.u.
VASP energy ... -1.970 eV per atom

```
data_SrTlCd2
_chemical_formula_sum 'Sr4 Tl4 Cd8'
_cell_length_a 7.421
_cell_length_b 7.421
_cell_length_c 7.421
_cell_angle_alpha 90.00
_cell_angle_beta 90.00
_cell_angle_gamma 90.00
_space_group_name_H-M_alt 'F -4 3 m'
_space_group_IT_number 216
_space_group_name_Hall 'F -4 2 3'
loop_
_atom_site_label
_atom_site_type_symbol
_atom_site_fract_x
_atom_site_fract_y
_atom_site_fract_z
_atom_site_occupancy
Sr1 Sr 0.000 0.000 0.000 1
Tl1 Tl 0.250 0.250 0.250 1
Cd1 Cd 0.000 0.000 0.500 1
Cd2 Cd 0.250 0.250 0.750 1
```

***

(6)
Material: MnZnIr2
Method: DFT, PBEsol
State: optimized geometry

Output
Magnetic moment ... 2.358 μB/f.u.
VASP energy ... -7.559 eV per atom

```
data_MnZnIr2
_chemical_formula_sum 'Mn2 Zn2 Ir4'
_cell_length_a 2.690
_cell_length_b 4.583
_cell_length_c 8.848
_cell_angle_alpha 90.00
_cell_angle_beta 90.00
_cell_angle_gamma 90.00
_space_group_name_H-M_alt 'C m m 2'
_space_group_IT_number 35
_space_group_name_Hall 'C 2 -2'
loop_
_atom_site_label
_atom_site_type_symbol
_atom_site_fract_x
_atom_site_fract_y
_atom_site_fract_z
_atom_site_occupancy
Mn1 Mn 0.000 0.000 0.000 1
Zn1 Zn 0.000 0.500 0.758 1
Ir1 Ir 0.000 0.000 0.508 1
Ir2 Ir 0.000 0.500 0.239 1
```

***

(7)
Material: HfTeCN2
Method: DFT, PBEsol
State: optimized geometry

Output
Magnetic moment ... 0.000 μB/f.u.
Formation energy without anion corrections ... 8.46 eV/f.u.
VASP energy ... -6.453 eV per atom

```
data_HfTeCN2
_chemical_formula_sum 'Hf1 Te1 C1 N2'
_cell_length_a 3.925
_cell_length_b 3.925
_cell_length_c 4.149
_cell_angle_alpha 90.00
_cell_angle_beta 90.00
_cell_angle_gamma 90.00
_space_group_name_H-M_alt 'P 4/m m m'
_space_group_IT_number 123
_space_group_name_Hall '-P 4 2'
loop_
_atom_site_label
_atom_site_type_symbol
_atom_site_fract_x
_atom_site_fract_y
_atom_site_fract_z
_atom_site_occupancy
Hf1 Hf 0.000 0.000 0.000 1
Te1 Te 0.500 0.500 0.000 1
C1 C 0.500 0.500 0.500 1
N1 N 0.000 0.500 0.500 1
```

***

(8)
Material: Li2PmIn
Method: DFT, PBEsol
State: optimized geometry

Output
Magnetic moment ... 0.000 μB/f.u.
VASP energy ... -3.347 eV per atom

```
data_Li2PmIn
_chemical_formula_sum 'Li8 Pm4 In4'
_cell_length_a 6.872
_cell_length_b 6.872
_cell_length_c 6.872
_cell_angle_alpha 90.00
_cell_angle_beta 90.00
_cell_angle_gamma 90.00
_space_group_name_H-M_alt 'F m -3 m'
_space_group_IT_number 225
_space_group_name_Hall '-F 4 2 3'
loop_
_atom_site_label
_atom_site_type_symbol
_atom_site_fract_x
_atom_site_fract_y
_atom_site_fract_z
_atom_site_occupancy
Li1 Li 0.250 0.250 0.250 1
Pm1 Pm 0.000 0.000 0.000 1
In1 In 0.000 0.000 0.500 1
```

***

(9)
Material: Be2InHg
Method: DFT, PBEsol
State: optimized geometry

Output
Magnetic moment ... 0.000 μB/f.u.
VASP energy ... -2.542 eV per atom

```
data_Be2InHg
_chemical_formula_sum 'Be4 In2 Hg2'
_cell_length_a 7.102
_cell_length_b 4.221
_cell_length_c 4.913
_cell_angle_alpha 90.00
_cell_angle_beta 92.79
_cell_angle_gamma 90.00
_space_group_name_H-M_alt 'C 1 2/m 1'
_space_group_IT_number 12
_space_group_name_Hall '-C 2y'
loop_
_atom_site_label
_atom_site_type_symbol
_atom_site_fract_x
_atom_site_fract_y
_atom_site_fract_z
_atom_site_occupancy
Be1 Be 0.166 0.000 0.008 1
In1 In 0.000 0.000 0.500 1
Hg1 Hg 0.000 0.500 0.000 1
```

***

(10)
Material: NbCuBi2As
Method: DFT, PBEsol
State: optimized geometry

Output
Magnetic moment ... 2.649 μB/f.u.
VASP energy ... -4.797 eV per atom

```
data_NbCuBi2As
_chemical_formula_sum 'Nb1 Cu1 Bi2 As1'
_cell_length_a 5.573
_cell_length_b 5.573
_cell_length_c 4.203
_cell_angle_alpha 90.00
_cell_angle_beta 90.00
_cell_angle_gamma 90.00
_space_group_name_H-M_alt 'P 4/m m m'
_space_group_IT_number 123
_space_group_name_Hall '-P 4 2'
loop_
_atom_site_label
_atom_site_type_symbol
_atom_site_fract_x
_atom_site_fract_y
_atom_site_fract_z
_atom_site_occupancy
Nb1 Nb 0.000 0.000 0.000 1
Cu1 Cu 0.500 0.500 0.000 1
Bi1 Bi 0.000 0.500 0.500 1
As1 As 0.500 0.500 0.500 1
```

***

(11)
Material: ZnH20S2N2O14
Method: DFT, PBEsol
State: optimized geometry

Output
Magnetic moment ... 0.002 μB/f.u.
VASP energy ... -5.348 eV per atom

```
data_ZnH20S2N2O14
_chemical_formula_sum 'Zn2 H40 S4 N4 O28'
_cell_length_a 6.043
_cell_length_b 13.638
_cell_length_c 8.625
_cell_angle_alpha 90.00
_cell_angle_beta 100.18
_cell_angle_gamma 90.00
_space_group_name_H-M_alt 'P 1 21/c 1'
_space_group_IT_number 14
_space_group_name_Hall '-P 2ybc'
loop_
_atom_site_label
_atom_site_type_symbol
_atom_site_fract_x
_atom_site_fract_y
_atom_site_fract_z
_atom_site_occupancy
Zn1 Zn 0.000 0.000 0.000 1
H1 H 0.050 0.082 0.287 1
H2 H 0.123 0.613 0.745 1
H3 H 0.180 0.520 0.252 1
H4 H 0.209 0.675 0.031 1
H5 H 0.279 0.666 0.227 1
H6 H 0.281 0.159 0.049 1
H7 H 0.314 0.725 0.638 1
H8 H 0.320 0.092 0.901 1
H9 H 0.358 0.573 0.710 1
H10 H 0.489 0.676 0.119 1
S1 S 0.240 0.139 0.592 1
N1 N 0.327 0.699 0.129 1
O1 O 0.001 0.639 0.891 1
O2 O 0.085 0.569 0.297 1
O3 O 0.210 0.600 0.658 1
O4 O 0.262 0.109 0.430 1
O5 O 0.273 0.090 0.006 1
O6 O 0.345 0.235 0.630 1
O7 O 0.357 0.065 0.709 1
```

***

(12)
Material: TaCu2Cl
Method: DFT, PBEsol
State: optimized geometry

Output
Magnetic moment ... 0.000 μB/f.u.
Formation energy without anion corrections ... 1.00 eV/f.u.
VASP energy ... -5.557 eV per atom

```
data_TaCu2Cl
_chemical_formula_sum 'Ta1 Cu2 Cl1'
_cell_length_a 2.791
_cell_length_b 4.370
_cell_length_c 4.884
_cell_angle_alpha 90.00
_cell_angle_beta 90.00
_cell_angle_gamma 90.00
_space_group_name_H-M_alt 'P m m 2'
_space_group_IT_number 25
_space_group_name_Hall 'P 2 -2'
loop_
_atom_site_label
_atom_site_type_symbol
_atom_site_fract_x
_atom_site_fract_y
_atom_site_fract_z
_atom_site_occupancy
Ta1 Ta 0.000 0.000 0.000 1
Cu1 Cu 0.500 0.000 0.519 1
Cu2 Cu 0.500 0.500 0.748 1
Cl1 Cl 0.000 0.500 0.216 1
```